Compound: ZnCoS2F
Source: the Alexandria database
Functional: PBE+U
Structure: optimized geometry

Results
The value obtained for the total energy is -2.94 eV per atom. The space-group type is No. 123. As for the volume: 91.70 Å³/cell.

Lattice parameters (Å, degrees): 5.0213 5.0213 3.6371 90.00 90.00 90.00
With the nearest neighbours (Å) after each atom.
Positions (direct):
Zn (0.0000, 0.0000, 0.0000)  2 F 1.82
Co (0.5000, 0.5000, 0.0000)  8 S 3.10
S (0.0000, 0.5000, 0.5000)  2 F 2.51
S (0.5000, 0.0000, 0.5000)  2 F 2.51
F (0.0000, 0.0000, 0.5000)  2 Zn 1.82